Record 1
## Al3Ag2 (PBE)

Data for a relaxed structure of Al3Ag2.

It has space group P-3m1 (No. 164), with a = 4.4007 Å, b = 4.4007 Å, c = 5.4593 Å, α = 90.00°, β = 90.00° and γ = 120.00°. The inequivalent atoms are Al at (0.0000, 0.0000, 0.0000), Al at (0.3333, 0.6667, 0.3517) and Ag at (0.3333, 0.6667, 0.8270).

For the total moment, the calculation gives 0.000 μB per atom. For the total energy, the calculation gives -3.34 eV per atom. As for the energy relative to the lowest polymorph listed for this composition: 0.078 eV/atom. Its density of states at the Fermi level is 0.292 states/eV/atom.

***

Record 2
## AlAg (PBE)

Data for a relaxed structure of AlAg.

It has space group Pm (No. 6), with a = 6.924 Å, b = 2.965 Å, c = 7.037 Å, α = 90.00°, β = 109.60° and γ = 90.00°. The inequivalent atoms are Al at (0.000, 0.000, 0.000), Al at (0.133, 0.500, 0.374), Al at (0.615, 0.500, 0.880), Al at (0.864, 0.500, 0.629), Ag at (0.227, 0.000, 0.737), Ag at (0.365, 0.500, 0.121), Ag at (0.504, 0.000, 0.510) and Ag at (0.765, 0.000, 0.252).

For the total moment, the calculation gives 0.000 μB per atom. For the total energy, the calculation gives -3.33 eV per atom. Its density of states at the Fermi level is 0.309 states/eV/atom.

***

Record 3
## AlAg (PBE)

Data for a relaxed structure of AlAg.

It has space group Fddd (No. 70, origin choice 2), with a = 2.992 Å, b = 10.736 Å, c = 17.074 Å, α = 90.00°, β = 90.00° and γ = 90.00°. The inequivalent atoms are Al at (0.125, 0.125, 0.013) and Ag at (0.125, 0.258, 0.625).

For the total moment, the calculation gives 0.000 μB per atom. For the total energy, the calculation gives -3.29 eV per atom. Its density of states at the Fermi level is 0.228 states/eV/atom.

***

Number 1: ΔH_f (0 K) 0.05 eV per atom. Number 2: ΔH_f (0 K) -0.03 eV per atom. Number 3: ΔH_f (0 K) 0.00 eV per atom.